No. 1
A relaxed Mg2CuSi3 crystal. Source: the Alexandria database, functional PBE.

Geometry as POSCAR:
```
Mg2CuSi3
1.0
4.3755 -2.5654 0.1508
4.3755 2.5654 0.1508
2.7290 0.0000 4.2780
Mg Cu Si
2 1 3
Cartesian
7.1974 0.0000 2.8712
4.2825 0.0000 1.7084
0.0000 0.0000 0.0000
2.1877 -1.2827 0.0754
2.1877 1.2827 0.0754
1.3645 0.0000 2.1390
```

- Total DFT energy (no corrections): -3.89 eV/atom

---

No. 2
A relaxed MgCu2Si2 crystal. Source: the Alexandria database, functional PBE.

Geometry as POSCAR:
```
MgCu2Si2
1.0
7.2002 0.0000 0.0000
0.0000 7.2002 0.0000
0.0000 0.0000 2.8416
Si Mg Cu
4 2 4
Cartesian
1.2623 4.8624 1.4208
4.8624 5.9379 1.4208
5.9379 2.3378 1.4208
2.3378 1.2623 1.4208
0.0000 0.0000 0.0000
3.6001 3.6001 0.0000
2.7114 6.3115 0.0000
6.3115 4.4888 0.0000
4.4888 0.8887 0.0000
0.8887 2.7114 0.0000
```

- Total DFT energy (no corrections): -4.01 eV/atom

---

No. 3
A relaxed Mg3Cu7Si4 crystal. Source: the Alexandria database, functional PBE.

Geometry as POSCAR:
```
Mg3Cu7Si4
1.0
-2.6469 -1.9582 -2.1771
-5.7652 -1.3525 4.6477
-5.8184 5.0590 -1.0547
Mg Cu Si
3 7 4
Cartesian
-2.8845 -0.0536 -0.0231
-11.3460 1.8018 1.4390
-5.7918 1.8532 1.7965
-8.8143 0.8883 2.7608
-7.1613 2.6192 -0.8058
-9.6961 2.3571 -1.0665
-5.4163 0.8599 -1.3449
-4.5344 -0.6089 2.4824
0.0000 0.0000 0.0000
-7.0693 -0.8710 2.2217
-5.5304 -0.8776 0.3567
-8.7001 2.6258 1.0592
-9.4131 -1.2975 1.8767
-4.8175 3.0457 -0.4608
```

- Total DFT energy (no corrections): -4.05 eV/atom

---

No. 4
A relaxed Mg2CuSi crystal. Source: the Alexandria database, functional PBE.

Geometry as POSCAR:
```
Mg2CuSi
1.0
4.5315 -0.0519 0.0055
3.5779 2.7812 0.0055
0.8998 0.3028 5.4420
Cu Mg Si
1 2 1
Cartesian
2.2523 0.7580 1.3633
8.1046 2.7277 0.0451
4.5093 1.5177 2.6925
6.7569 2.2741 4.0898
```

- Total DFT energy (no corrections): -3.05 eV/atom

---

Across the entries above, energy relative to the elements, uncorrected takes the values 32, 118, -114, 129 meV/atom, respectively.